# Sm3Be2AsPt9

Sm3Be2AsPt9 after structural relaxation (GGA-PBE, the Alexandria database).

Its calculated formation energy is -773.1 meV/atom. As for the symmetry: P-3m1 (164).

```
data_Sm3Be2AsPt9
_chemical_formula_sum 'Sm3 Be2 As1 Pt9'
_cell_length_a 5.832
_cell_length_b 5.832
_cell_length_c 9.340
_cell_angle_alpha 90.00
_cell_angle_beta 90.00
_cell_angle_gamma 120.00
_space_group_name_H-M_alt 'P 1'
_space_group_IT_number 1
_space_group_name_Hall 'P 1'
loop_
_atom_site_label
_atom_site_type_symbol
_atom_site_fract_x
_atom_site_fract_y
_atom_site_fract_z
Sm1 Sm 0.000 0.000 0.000
Sm2 Sm 0.333 0.667 0.613
Sm3 Sm 0.667 0.333 0.387
Be1 Be 0.333 0.667 0.150
Be2 Be 0.667 0.333 0.850
As1 As 0.000 0.000 0.500
Pt1 Pt 0.000 0.500 0.000
Pt2 Pt 0.165 0.330 0.298
Pt3 Pt 0.165 0.835 0.298
Pt4 Pt 0.330 0.165 0.702
Pt5 Pt 0.500 0.000 0.000
Pt6 Pt 0.500 0.500 0.000
Pt7 Pt 0.670 0.835 0.298
Pt8 Pt 0.835 0.165 0.702
Pt9 Pt 0.835 0.670 0.702
```

# Sr2BeAsPt6

Sr2BeAsPt6 after structural relaxation (GGA-PBE, the Alexandria database).

Its calculated formation energy is -634.2 meV/atom. As for the symmetry: P-1 (2).

```
data_Sr2BeAsPt6
_chemical_formula_sum 'Sr2 Be1 As1 Pt6'
_cell_length_a 5.726
_cell_length_b 6.521
_cell_length_c 6.751
_cell_angle_alpha 71.02
_cell_angle_beta 64.97
_cell_angle_gamma 64.07
_space_group_name_H-M_alt 'P 1'
_space_group_IT_number 1
_space_group_name_Hall 'P 1'
loop_
_atom_site_label
_atom_site_type_symbol
_atom_site_fract_x
_atom_site_fract_y
_atom_site_fract_z
Sr1 Sr 0.249 0.198 0.303
Sr2 Sr 0.751 0.802 0.697
Be1 Be 0.000 0.000 0.000
As1 As 0.500 0.500 0.500
Pt1 Pt 0.214 0.273 0.784
Pt2 Pt 0.244 0.654 0.860
Pt3 Pt 0.271 0.727 0.216
Pt4 Pt 0.729 0.273 0.784
Pt5 Pt 0.756 0.346 0.140
Pt6 Pt 0.786 0.727 0.216
```

# TaBeAs2Pt

TaBeAs2Pt after structural relaxation (GGA-PBE, the Alexandria database).

Its calculated formation energy is 524.7 meV/atom. As for the symmetry: P4/mmm (123).

```
data_TaBeAs2Pt
_chemical_formula_sum 'Ta1 Be1 As2 Pt1'
_cell_length_a 4.297
_cell_length_b 4.297
_cell_length_c 4.431
_cell_angle_alpha 90.00
_cell_angle_beta 90.00
_cell_angle_gamma 90.00
_space_group_name_H-M_alt 'P 1'
_space_group_IT_number 1
_space_group_name_Hall 'P 1'
loop_
_atom_site_label
_atom_site_type_symbol
_atom_site_fract_x
_atom_site_fract_y
_atom_site_fract_z
Ta1 Ta 0.000 0.000 0.000
Be1 Be 0.000 0.000 0.500
As1 As 0.000 0.500 0.500
As2 As 0.500 0.000 0.500
Pt1 Pt 0.500 0.500 0.000
```

# Th2BeAsPt6

Th2BeAsPt6 after structural relaxation (GGA-PBE, the Alexandria database).

Its calculated formation energy is -649.4 meV/atom. As for the symmetry: Fm-3m (225).

```
data_Th2BeAsPt6
_chemical_formula_sum 'Th2 Be1 As1 Pt6'
_cell_length_a 6.501
_cell_length_b 6.501
_cell_length_c 6.501
_cell_angle_alpha 60.00
_cell_angle_beta 60.00
_cell_angle_gamma 60.00
_space_group_name_H-M_alt 'P 1'
_space_group_IT_number 1
_space_group_name_Hall 'P 1'
loop_
_atom_site_label
_atom_site_type_symbol
_atom_site_fract_x
_atom_site_fract_y
_atom_site_fract_z
Th1 Th 0.250 0.250 0.250
Th2 Th 0.750 0.750 0.750
Be1 Be 0.000 0.000 0.000
As1 As 0.500 0.500 0.500
Pt1 Pt 0.236 0.236 0.764
Pt2 Pt 0.236 0.764 0.236
Pt3 Pt 0.236 0.764 0.764
Pt4 Pt 0.764 0.236 0.236
Pt5 Pt 0.764 0.236 0.764
Pt6 Pt 0.764 0.764 0.236
```

no.,calculated volume (A^3/atom)
1,18.3
2,20.2
3,16.4
4,19.4